[1]
# Sr2MnHg | the Alexandria database | GGA-PBE | relaxed
# Calculated formation energy ... 0.107 eV/atom
# Total magnetic moment ... 1.0457 μB/atom
# Total energy ... -3.1014 eV/atom
data_Sr2MnHg
_cell_length_a 3.826
_cell_length_b 3.826
_cell_length_c 8.982
_cell_angle_alpha 90.00
_cell_angle_beta 90.00
_cell_angle_gamma 90.00
_space_group_name_H-M_alt 'P 1'
_space_group_IT_number 1
_space_group_name_Hall 'P 1'
loop_
_atom_site_label
_atom_site_fract_x
_atom_site_fract_y
_atom_site_fract_z
_atom_site_occupancy
Sr1 0.500 0.500 0.319 1
Sr2 0.000 0.000 0.935 1
Hg1 0.000 0.000 0.561 1
Mn1 0.500 0.500 0.685 1

---

[2]
# SmDyYCd | the Alexandria database | GGA-PBE | relaxed
# ΔE to the lowest computed polymorph ... 0.129 eV/atom
# Calculated formation energy ... -0.027 eV/atom
# Total magnetic moment ... 0.0096 μB/atom
# Total energy ... -4.2017 eV/atom
data_SmDyYCd
_cell_length_a 5.484
_cell_length_b 5.484
_cell_length_c 5.484
_cell_angle_alpha 60.00
_cell_angle_beta 60.00
_cell_angle_gamma 60.00
_space_group_name_H-M_alt 'P 1'
_space_group_IT_number 1
_space_group_name_Hall 'P 1'
loop_
_atom_site_label
_atom_site_fract_x
_atom_site_fract_y
_atom_site_fract_z
_atom_site_occupancy
Cd1 0.000 0.000 0.000 1
Y1 0.750 0.750 0.750 1
Sm1 0.250 0.250 0.250 1
Dy1 0.500 0.500 0.500 1

---

[3]
# KNa2LiPd | the Alexandria database | GGA-PBE | relaxed
# Calculated formation energy ... -0.003 eV/atom
# Total magnetic moment ... 0.0000 μB/atom
# Total energy ... -2.1712 eV/atom
data_KNa2LiPd
_cell_length_a 5.653
_cell_length_b 5.653
_cell_length_c 5.056
_cell_angle_alpha 90.00
_cell_angle_beta 90.00
_cell_angle_gamma 90.00
_space_group_name_H-M_alt 'P 1'
_space_group_IT_number 1
_space_group_name_Hall 'P 1'
loop_
_atom_site_label
_atom_site_fract_x
_atom_site_fract_y
_atom_site_fract_z
_atom_site_occupancy
Pd1 0.000 0.000 0.000 1
Li1 0.000 0.000 0.500 1
Na1 0.500 0.000 0.000 1
Na2 0.000 0.500 0.000 1
K1 0.500 0.500 0.500 1

---

[4]
# Ga3PdAu | the Alexandria database | GGA-PBE | relaxed
# ΔE to the lowest computed polymorph ... 0.314 eV/atom
# Calculated formation energy ... -0.037 eV/atom
# Total magnetic moment ... 0.0000 μB/atom
# Total energy ... -3.5475 eV/atom
data_Ga3PdAu
_cell_length_a 4.816
_cell_length_b 4.816
_cell_length_c 4.816
_cell_angle_alpha 90.00
_cell_angle_beta 90.00
_cell_angle_gamma 90.00
_space_group_name_H-M_alt 'P 1'
_space_group_IT_number 1
_space_group_name_Hall 'P 1'
loop_
_atom_site_label
_atom_site_fract_x
_atom_site_fract_y
_atom_site_fract_z
_atom_site_occupancy
Ga1 0.000 0.000 0.500 1
Ga2 0.500 0.000 0.000 1
Ga3 0.000 0.500 0.000 1
Pd1 0.000 0.000 0.000 1
Au1 0.500 0.500 0.500 1

---

[5]
# Tl2GaAu4 | the Alexandria database | GGA-PBE | relaxed
# Calculated formation energy ... -0.014 eV/atom
# Total magnetic moment ... 0.0000 μB/atom
# Total energy ... -2.9949 eV/atom
data_Tl2GaAu4
_cell_length_a 5.340
_cell_length_b 5.214
_cell_length_c 7.597
_cell_angle_alpha 97.58
_cell_angle_beta 112.57
_cell_angle_gamma 64.35
_space_group_name_H-M_alt 'P 1'
_space_group_IT_number 1
_space_group_name_Hall 'P 1'
loop_
_atom_site_label
_atom_site_fract_x
_atom_site_fract_y
_atom_site_fract_z
_atom_site_occupancy
Au1 0.684 0.855 0.667 1
Au2 0.316 0.145 0.333 1
Au3 0.000 0.500 0.000 1
Au4 0.500 0.000 0.000 1
Tl1 0.683 0.460 0.325 1
Tl2 0.317 0.540 0.675 1
Ga1 0.000 0.000 0.000 1

---

[6]
# Rb2SiSn | the Alexandria database | GGA-PBE | relaxed
# Formation energy (no corrections) ... 0.19 eV per atom
# ΔE to the lowest computed polymorph ... 0.000 eV/atom
# Total magnetic moment ... 0.0000 μB/atom
# Total energy ... -2.6529 eV/atom
data_Rb2SiSn
_cell_length_a 13.433
_cell_length_b 13.433
_cell_length_c 9.851
_cell_angle_alpha 47.01
_cell_angle_beta 47.01
_cell_angle_gamma 90.00
_space_group_name_H-M_alt 'P 1'
_space_group_IT_number 1
_space_group_name_Hall 'P 1'
loop_
_atom_site_label
_atom_site_fract_x
_atom_site_fract_y
_atom_site_fract_z
_atom_site_occupancy
Rb1 0.375 0.574 0.750 1
Rb2 0.324 0.625 0.250 1
Rb3 0.426 0.125 0.250 1
Rb4 0.875 0.676 0.750 1
Si1 0.250 0.750 0.500 1
Si2 0.500 0.500 0.000 1
Sn1 0.750 0.250 0.500 1
Sn2 0.000 0.000 0.000 1

---

[7]
# K4TlCd | the Alexandria database | GGA-PBE | relaxed
# ΔE to the lowest computed polymorph ... 0.000 eV/atom
# Calculated formation energy ... -0.010 eV/atom
# Total magnetic moment ... 0.0000 μB/atom
# Total energy ... -1.2881 eV/atom
data_K4TlCd
_cell_length_a 8.895
_cell_length_b 8.895
_cell_length_c 9.757
_cell_angle_alpha 117.12
_cell_angle_beta 117.12
_cell_angle_gamma 90.00
_space_group_name_H-M_alt 'P 1'
_space_group_IT_number 1
_space_group_name_Hall 'P 1'
loop_
_atom_site_label
_atom_site_fract_x
_atom_site_fract_y
_atom_site_fract_z
_atom_site_occupancy
K1 0.694 0.545 0.739 1
K2 0.306 0.455 0.261 1
K3 0.806 0.306 0.261 1
K4 0.455 0.955 0.261 1
K5 0.545 0.045 0.739 1
K6 0.045 0.194 0.739 1
K7 0.194 0.694 0.739 1
K8 0.955 0.806 0.261 1
Tl1 0.750 0.750 0.500 1
Tl2 0.250 0.250 0.500 1
Cd1 0.500 0.500 0.000 1
Cd2 0.000 0.000 0.000 1

---

[8]
# Th5Tl4Au | the Alexandria database | GGA-PBE | relaxed
# Calculated formation energy ... -0.227 eV/atom
# Total magnetic moment ... 0.0000 μB/atom
# Total energy ... -5.2115 eV/atom
data_Th5Tl4Au
_cell_length_a 3.533
_cell_length_b 3.533
_cell_length_c 22.763
_cell_angle_alpha 90.00
_cell_angle_beta 90.00
_cell_angle_gamma 90.00
_space_group_name_H-M_alt 'P 1'
_space_group_IT_number 1
_space_group_name_Hall 'P 1'
loop_
_atom_site_label
_atom_site_fract_x
_atom_site_fract_y
_atom_site_fract_z
_atom_site_occupancy
Th1 0.500 0.500 0.089 1
Th2 0.500 0.500 0.911 1
Th3 0.500 0.500 0.295 1
Th4 0.500 0.500 0.705 1
Th5 0.500 0.500 0.500 1
Au1 0.000 0.000 0.000 1
Tl1 0.000 0.000 0.602 1
Tl2 0.000 0.000 0.807 1
Tl3 0.000 0.000 0.398 1
Tl4 0.000 0.000 0.193 1

---

[9]
# ScV2Ag2 | the Alexandria database | GGA-PBE | relaxed
# ΔE to the lowest computed polymorph ... 0.089 eV/atom
# Calculated formation energy ... 0.402 eV/atom
# Total magnetic moment ... 0.0000 μB/atom
# Total energy ... -5.6523 eV/atom
data_ScV2Ag2
_cell_length_a 4.041
_cell_length_b 4.041
_cell_length_c 6.369
_cell_angle_alpha 71.51
_cell_angle_beta 71.51
_cell_angle_gamma 90.00
_space_group_name_H-M_alt 'P 1'
_space_group_IT_number 1
_space_group_name_Hall 'P 1'
loop_
_atom_site_label
_atom_site_fract_x
_atom_site_fract_y
_atom_site_fract_z
_atom_site_occupancy
V1 0.419 0.419 0.162 1
V2 0.581 0.581 0.838 1
Ag1 0.750 0.250 0.500 1
Ag2 0.250 0.750 0.500 1
Sc1 0.000 0.000 0.000 1

---

[10]
# Tb8ZnTe4As3 | the Alexandria database | GGA-PBE | relaxed
# Formation energy (no corrections) ... -1.32 eV per atom
# Total magnetic moment ... 0.0000 μB/atom
# Total energy ... -5.3724 eV/atom
data_Tb8ZnTe4As3
_cell_length_a 8.464
_cell_length_b 8.596
_cell_length_c 8.464
_cell_angle_alpha 119.50
_cell_angle_beta 120.00
_cell_angle_gamma 90.00
_space_group_name_H-M_alt 'P 1'
_space_group_IT_number 1
_space_group_name_Hall 'P 1'
loop_
_atom_site_label
_atom_site_fract_x
_atom_site_fract_y
_atom_site_fract_z
_atom_site_occupancy
As1 0.500 0.500 0.500 1
As2 0.500 0.500 0.000 1
As3 0.000 0.500 0.500 1
Te1 0.000 0.000 0.000 1
Te2 0.500 0.000 0.000 1
Te3 0.500 0.000 0.500 1
Te4 0.000 0.000 0.500 1
Tb1 0.759 0.276 0.519 1
Tb2 0.241 0.724 0.481 1
Tb3 0.742 0.724 0.983 1
Tb4 0.261 0.282 0.521 1
Tb5 0.739 0.718 0.479 1
Tb6 0.258 0.276 0.017 1
Tb7 0.759 0.276 0.017 1
Tb8 0.241 0.724 0.983 1
Zn1 0.000 0.500 0.000 1

---

[11]
# TiReGe2Sb | the Alexandria database | GGA-PBE | relaxed
# Formation energy (no corrections) ... 1.75 eV per atom
# Total magnetic moment ... 0.0000 μB/atom
# Total energy ... -4.9907 eV/atom
data_TiReGe2Sb
_cell_length_a 5.132
_cell_length_b 4.896
_cell_length_c 5.132
_cell_angle_alpha 90.00
_cell_angle_beta 90.00
_cell_angle_gamma 90.00
_space_group_name_H-M_alt 'P 1'
_space_group_IT_number 1
_space_group_name_Hall 'P 1'
loop_
_atom_site_label
_atom_site_fract_x
_atom_site_fract_y
_atom_site_fract_z
_atom_site_occupancy
Sb1 0.000 0.000 0.000 1
Ti1 0.500 0.500 0.500 1
Ge1 0.500 0.000 0.000 1
Ge2 0.000 0.000 0.500 1
Re1 0.000 0.500 0.000 1

---

[12]
# HfNbPd | the Alexandria database | GGA-PBE | relaxed
# ΔE to the lowest computed polymorph ... 0.584 eV/atom
# Calculated formation energy ... 0.125 eV/atom
# Total magnetic moment ... 0.0000 μB/atom
# Total energy ... -8.2805 eV/atom
data_HfNbPd
_cell_length_a 4.344
_cell_length_b 4.344
_cell_length_c 7.828
_cell_angle_alpha 73.89
_cell_angle_beta 73.89
_cell_angle_gamma 60.00
_space_group_name_H-M_alt 'P 1'
_space_group_IT_number 1
_space_group_name_Hall 'P 1'
loop_
_atom_site_label
_atom_site_fract_x
_atom_site_fract_y
_atom_site_fract_z
_atom_site_occupancy
Hf1 0.433 0.433 0.701 1
Hf2 0.567 0.567 0.299 1
Pd1 0.862 0.862 0.415 1
Pd2 0.138 0.138 0.585 1
Nb1 0.697 0.697 0.908 1
Nb2 0.303 0.303 0.092 1

---

[13]
# BaSi | the Alexandria database | GGA-PBE | relaxed
# Formation energy (no corrections) ... 0.29 eV per atom
# Total magnetic moment ... 0.8429 μB/atom
# Total energy ... -3.3853 eV/atom
data_BaSi
_cell_length_a 4.846
_cell_length_b 4.846
_cell_length_c 4.846
_cell_angle_alpha 60.00
_cell_angle_beta 60.00
_cell_angle_gamma 60.00
_space_group_name_H-M_alt 'P 1'
_space_group_IT_number 1
_space_group_name_Hall 'P 1'
loop_
_atom_site_label
_atom_site_fract_x
_atom_site_fract_y
_atom_site_fract_z
_atom_site_occupancy
Ba1 0.000 0.000 0.000 1
Si1 0.500 0.500 0.500 1

---

[14]
# YInSe2 | the Alexandria database | GGA-PBE | relaxed
# Formation energy (no corrections) ... -1.09 eV per atom
# Total magnetic moment ... 0.0000 μB/atom
# Total energy ... -5.1379 eV/atom
data_YInSe2
_cell_length_a 3.641
_cell_length_b 3.641
_cell_length_c 8.448
_cell_angle_alpha 64.72
_cell_angle_beta 90.00
_cell_angle_gamma 90.00
_space_group_name_H-M_alt 'P 1'
_space_group_IT_number 1
_space_group_name_Hall 'P 1'
loop_
_atom_site_label
_atom_site_fract_x
_atom_site_fract_y
_atom_site_fract_z
_atom_site_occupancy
Y1 0.500 0.250 0.250 1
Se1 0.000 0.962 0.037 1
Se2 0.000 0.538 0.463 1
In1 0.500 0.750 0.750 1

---

[15]
# K2CuP | the Alexandria database | GGA-PBE | relaxed
# Calculated formation energy ... -0.285 eV/atom
# Total magnetic moment ... 0.0000 μB/atom
# Total energy ... -3.2100 eV/atom
data_K2CuP
_cell_length_a 4.261
_cell_length_b 5.402
_cell_length_c 5.869
_cell_angle_alpha 62.64
_cell_angle_beta 90.00
_cell_angle_gamma 90.00
_space_group_name_H-M_alt 'P 1'
_space_group_IT_number 1
_space_group_name_Hall 'P 1'
loop_
_atom_site_label
_atom_site_fract_x
_atom_site_fract_y
_atom_site_fract_z
_atom_site_occupancy
K1 0.000 0.969 0.937 1
K2 0.500 0.277 0.320 1
Cu1 0.500 0.603 0.670 1
P1 0.000 0.651 0.573 1

---

[16]
# Ba2ErCdTe5 | the Alexandria database | GGA-PBE | relaxed
# Formation energy (no corrections) ... -1.23 eV per atom
# Total magnetic moment ... 0.0000 μB/atom
# Total energy ... -4.0133 eV/atom
data_Ba2ErCdTe5
_cell_length_a 4.589
_cell_length_b 10.478
_cell_length_c 14.091
_cell_angle_alpha 90.00
_cell_angle_beta 90.00
_cell_angle_gamma 102.65
_space_group_name_H-M_alt 'P 1'
_space_group_IT_number 1
_space_group_name_Hall 'P 1'
loop_
_atom_site_label
_atom_site_fract_x
_atom_site_fract_y
_atom_site_fract_z
_atom_site_occupancy
Er1 0.794 0.587 0.517 1
Er2 0.206 0.413 0.017 1
Te1 0.504 0.007 0.264 1
Te2 0.055 0.111 0.059 1
Te3 0.354 0.707 0.007 1
Te4 0.695 0.390 0.867 1
Te5 0.646 0.293 0.507 1
Te6 0.292 0.584 0.662 1
Te7 0.708 0.416 0.162 1
Te8 0.945 0.889 0.559 1
Te9 0.496 0.993 0.764 1
Te10 0.305 0.610 0.367 1
Ba1 0.117 0.235 0.689 1
Ba2 0.883 0.765 0.189 1
Ba3 0.128 0.256 0.317 1
Ba4 0.872 0.744 0.817 1
Cd1 0.443 0.885 0.441 1
Cd2 0.557 0.115 0.941 1

---

[17]
# Cs7BiH2Au2 | the Alexandria database | GGA-PBE | relaxed
# Total magnetic moment ... 0.0000 μB/atom
# Total energy ... -2.1780 eV/atom
data_Cs7BiH2Au2
_cell_length_a 6.786
_cell_length_b 6.870
_cell_length_c 13.635
_cell_angle_alpha 104.59
_cell_angle_beta 104.41
_cell_angle_gamma 90.00
_space_group_name_H-M_alt 'P 1'
_space_group_IT_number 1
_space_group_name_Hall 'P 1'
loop_
_atom_site_label
_atom_site_fract_x
_atom_site_fract_y
_atom_site_fract_z
_atom_site_occupancy
Cs1 0.098 0.615 0.196 1
Cs2 0.273 0.269 0.546 1
Cs3 0.402 0.883 0.805 1
Cs4 0.500 0.447 0.000 1
Cs5 0.902 0.419 0.804 1
Cs6 0.598 0.079 0.195 1
Cs7 0.727 0.722 0.454 1
Au1 0.251 0.747 0.503 1
Au2 0.749 0.245 0.497 1
H1 0.387 0.411 0.774 1
H2 0.613 0.637 0.226 1
Bi1 0.000 0.025 0.000 1

---

[18]
# Mn2AuCl8 | the Alexandria database | GGA-PBE | relaxed
# Formation energy (no corrections) ... -0.71 eV per atom
# Total magnetic moment ... 0.8214 μB/atom
# Total energy ... -4.0226 eV/atom
data_Mn2AuCl8
_cell_length_a 7.508
_cell_length_b 6.624
_cell_length_c 9.711
_cell_angle_alpha 108.92
_cell_angle_beta 90.00
_cell_angle_gamma 124.52
_space_group_name_H-M_alt 'P 1'
_space_group_IT_number 1
_space_group_name_Hall 'P 1'
loop_
_atom_site_label
_atom_site_fract_x
_atom_site_fract_y
_atom_site_fract_z
_atom_site_occupancy
Mn1 0.907 0.814 0.614 1
Mn2 0.093 0.186 0.386 1
Cl1 0.732 0.913 0.806 1
Cl2 0.268 0.087 0.194 1
Cl3 0.870 0.741 0.359 1
Cl4 0.130 0.259 0.641 1
Cl5 0.692 0.384 0.554 1
Cl6 0.308 0.616 0.446 1
Cl7 0.819 0.087 0.194 1
Cl8 0.181 0.913 0.806 1
Au1 0.000 0.000 0.000 1

---

[19]
# Li6Zn2Pd | the Alexandria database | GGA-PBE | relaxed
# ΔE to the lowest computed polymorph ... 0.000 eV/atom
# Calculated formation energy ... -0.224 eV/atom
# Total magnetic moment ... 0.0000 μB/atom
# Total energy ... -2.3604 eV/atom
data_Li6Zn2Pd
_cell_length_a 5.162
_cell_length_b 5.165
_cell_length_c 5.165
_cell_angle_alpha 96.81
_cell_angle_beta 96.75
_cell_angle_gamma 96.75
_space_group_name_H-M_alt 'P 1'
_space_group_IT_number 1
_space_group_name_Hall 'P 1'
loop_
_atom_site_label
_atom_site_fract_x
_atom_site_fract_y
_atom_site_fract_z
_atom_site_occupancy
Li1 0.837 0.163 0.500 1
Li2 0.500 0.837 0.163 1
Li3 0.163 0.837 0.500 1
Li4 0.163 0.500 0.837 1
Li5 0.500 0.163 0.837 1
Li6 0.837 0.500 0.163 1
Pd1 0.000 0.000 0.000 1
Zn1 0.333 0.333 0.333 1
Zn2 0.667 0.667 0.667 1

---

[20]
# CaCoSi | the Alexandria database | GGA-PBE | relaxed
# Formation energy (no corrections) ... -0.34 eV per atom
# Total magnetic moment ... 0.0000 μB/atom
# Total energy ... -5.1828 eV/atom
data_CaCoSi
_cell_length_a 3.882
_cell_length_b 4.413
_cell_length_c 3.892
_cell_angle_alpha 90.00
_cell_angle_beta 119.91
_cell_angle_gamma 90.00
_space_group_name_H-M_alt 'P 1'
_space_group_IT_number 1
_space_group_name_Hall 'P 1'
loop_
_atom_site_label
_atom_site_fract_x
_atom_site_fract_y
_atom_site_fract_z
_atom_site_occupancy
Si1 0.202 0.000 0.846 1
Co1 0.535 0.000 0.512 1
Ca1 0.869 0.500 0.180 1